w | # LiTaAg (PBE-GGA, relaxed)
data_LiTaAg
_chemical_formula_sum 'Li2 Ta2 Ag2'
_cell_length_a 2.7939
_cell_length_b 2.7939
_cell_length_c 12.9561
_cell_angle_alpha 90.00
_cell_angle_beta 90.00
_cell_angle_gamma 90.00
_symmetry_space_group_name_H-M 'I 4 m m'
_symmetry_Int_Tables_number 107
_symmetry_space_group_name_Hall 'I 4 -2'
loop_
_atom_site_label
_atom_site_type_symbol
_atom_site_fract_x
_atom_site_fract_y
_atom_site_fract_z
Li1 Li 0.0000 0.0000 0.0000
Ta1 Ta 0.0000 0.0000 0.6756
Ag1 Ag 0.0000 0.0000 0.3491
# N(E_F): 4.997 states/eV per cell

---

x | # LiTaAg (PBE-GGA, relaxed)
data_LiTaAg
_chemical_formula_sum 'Li4 Ta4 Ag4'
_cell_length_a 3.0846
_cell_length_b 4.5676
_cell_length_c 14.8269
_cell_angle_alpha 90.00
_cell_angle_beta 90.00
_cell_angle_gamma 90.00
_symmetry_space_group_name_H-M 'F m m 2'
_symmetry_Int_Tables_number 42
_symmetry_space_group_name_Hall 'F 2 -2'
loop_
_atom_site_label
_atom_site_type_symbol
_atom_site_fract_x
_atom_site_fract_y
_atom_site_fract_z
Li1 Li 0.0000 0.0000 0.0000
Ta1 Ta 0.0000 0.0000 0.6735
Ag1 Ag 0.0000 0.0000 0.3431
# N(E_F): 8.817 states/eV per cell

---

y | # LiTaAg (PBE-GGA, relaxed)
data_LiTaAg
_chemical_formula_sum 'Li4 Ta4 Ag4'
_cell_length_a 6.2007
_cell_length_b 6.2007
_cell_length_c 6.2007
_cell_angle_alpha 90.00
_cell_angle_beta 90.00
_cell_angle_gamma 90.00
_symmetry_space_group_name_H-M 'F -4 3 m'
_symmetry_Int_Tables_number 216
_symmetry_space_group_name_Hall 'F -4 2 3'
loop_
_atom_site_label
_atom_site_type_symbol
_atom_site_fract_x
_atom_site_fract_y
_atom_site_fract_z
Li1 Li 0.0000 0.0000 0.0000
Ta1 Ta 0.2500 0.2500 0.2500
Ag1 Ag 0.0000 0.0000 0.5000
# N(E_F): 9.992 states/eV per cell

---

The winner here is x, beating the second structure by 66 meV per atom.

---

w | # LiTaAg3 (PBE-GGA, relaxed)
data_LiTaAg3
_chemical_formula_sum 'Li1 Ta1 Ag3'
_cell_length_a 4.4222
_cell_length_b 4.4222
_cell_length_c 4.4222
_cell_angle_alpha 90.00
_cell_angle_beta 90.00
_cell_angle_gamma 90.00
_symmetry_space_group_name_H-M 'P m -3 m'
_symmetry_Int_Tables_number 221
_symmetry_space_group_name_Hall '-P 4 2 3'
loop_
_atom_site_label
_atom_site_type_symbol
_atom_site_fract_x
_atom_site_fract_y
_atom_site_fract_z
Li1 Li 0.0000 0.0000 0.0000
Ta1 Ta 0.5000 0.5000 0.5000
Ag1 Ag 0.0000 0.0000 0.5000
# N(E_F): 3.253 states/eV per cell

---

x | # LiTaAg3 (PBE-GGA, relaxed)
data_LiTaAg3
_chemical_formula_sum 'Li1 Ta1 Ag3'
_cell_length_a 5.2117
_cell_length_b 5.2117
_cell_length_c 5.2117
_cell_angle_alpha 90.00
_cell_angle_beta 90.00
_cell_angle_gamma 90.00
_symmetry_space_group_name_H-M 'P m -3 m'
_symmetry_Int_Tables_number 221
_symmetry_space_group_name_Hall '-P 4 2 3'
loop_
_atom_site_label
_atom_site_type_symbol
_atom_site_fract_x
_atom_site_fract_y
_atom_site_fract_z
Li1 Li 0.0000 0.0000 0.0000
Ta1 Ta 0.5000 0.5000 0.5000
Ag1 Ag 0.0000 0.5000 0.5000
# N(E_F): 3.943 states/eV per cell

---

The winner here is w, beating the second structure by 405 meV per atom.